Density functional theory data (GGA-PBE) for crystalline SmHo3Sc2 at its relaxed geometry.

Output
Space group ... C2/m, No. 12
ΔH_f (0 K) ... 0.15 eV per atom
Crystal system ... monoclinic
DOS at the Fermi energy ... 20.855 states/eV/cell
Energy above the lowest structure with this stoichiometry ... 0.000 eV per atom

Lattice parameters (Å, degrees): 3.3876 9.8744 11.4059 107.72 98.54 90.00
Closest atoms and distances in Å follow each position.
Sites, in units of the cell vectors:
Sm 0.6832 0.0451 0.3664  3 Sc 3.19-3.43, 2 Sm 3.39, 5 Ho 3.43-3.56
Ho 0.5600 0.4359 0.1199  3 Sc 3.22-3.44, 6 Ho 3.32-3.42
Ho 0.0675 0.7699 0.1349  8 Ho 3.39-3.66, 2 Sc 3.48-3.64, 2 Sm 3.56
Sc 0.0703 0.1409 0.1406  5 Sc 3.39-3.52, 2 Sm 3.43, 4 Ho 3.44-3.64
Ho 0.3030 0.2917 0.6060  3 Sc 3.27-3.32, 5 Ho 3.39-3.59, 3 Sm 3.43-3.47
Sc 0.9297 0.8591 0.8594  5 Sc 3.39-3.52, 2 Sm 3.43, 4 Ho 3.44-3.64
Ho 0.9325 0.2301 0.8651  8 Ho 3.39-3.66, 2 Sc 3.48-3.64, 2 Sm 3.56
Ho 0.4400 0.5641 0.8801  3 Sc 3.22-3.44, 6 Ho 3.32-3.42
Ho 0.6970 0.7083 0.3940  3 Sc 3.27-3.32, 5 Ho 3.39-3.59, 3 Sm 3.43-3.47
Sc 0.3080 0.6258 0.6159  1 Sm 3.19, 4 Ho 3.22-3.32, 6 Sc 3.39-3.45
Sm 0.3168 0.9549 0.6336  3 Sc 3.19-3.43, 2 Sm 3.39, 5 Ho 3.43-3.56
Sc 0.6920 0.3742 0.3841  1 Sm 3.19, 4 Ho 3.22-3.32, 6 Sc 3.39-3.45